1.
Computed, not measured: a PBEsol-optimized structure of NaSrHg3 at the SCAN level of DFT.

abc: 5.3143 5.3143 5.3143
angles: 90.00 90.00 90.00
Fractional positions:
Hg 0.0000 0.5000 0.0000
Hg 0.5000 0.0000 0.0000
Na 0.0000 0.0000 0.0000
Hg 0.0000 0.0000 0.5000
Sr 0.5000 0.5000 0.5000

Summary:
size of the total moment	0.0	μB/f.u.
energy of formation	-0.19	eV/atom
space group	Pm-3m (221)



2.
Computed, not measured: a PBEsol-optimized structure of LiTeRh2 at the SCAN level of DFT.

abc: 3.0398 3.8769 5.1754
angles: 90.00 90.00 90.00
Fractional positions:
Te 0.0000 0.0000 0.4754
Rh 0.0000 0.0000 0.9753
Li 0.5000 0.5000 0.7834
Rh 0.5000 0.5000 0.2659

Summary:
size of the total moment	0.0	μB/f.u.
space group	Pmm2 (25)
raw formation energy	-0.253	eV/atom



3.
Computed, not measured: a PBEsol-optimized structure of InHgSb2 at the SCAN level of DFT.

abc: 3.9089 5.0185 5.1879
angles: 90.00 90.00 90.00
Fractional positions:
Sb 0.5000 0.5000 0.0000
Hg 0.5000 0.0000 0.5000
In 0.0000 0.5000 0.5000
Sb 0.0000 0.0000 0.0000

Summary:
size of the total moment	0.0	μB/f.u.
space group	Pmmm (47)
raw formation energy	0.151	eV/atom
energy relative to the lowest polymorph listed for this composition	0.02	kcal/mol of atoms



4.
Computed, not measured: a PBEsol-optimized structure of GeSbTe3 at the SCAN level of DFT.

abc: 4.0775 4.0775 10.3061
angles: 78.59 78.59 60.00
Fractional positions:
Sb 0.3965 0.3965 0.8105
Ge 0.5994 0.5994 0.2017
Te 0.2156 0.2156 0.3532
Te 0.9977 0.9977 0.0070
Te 0.7908 0.7908 0.6275

Summary:
size of the total moment	0.0	μB/f.u.
space group	R3m (160)
raw formation energy	-0.035	eV/atom



5.
Computed, not measured: a PBEsol-optimized structure of CsK2Na2 at the SCAN level of DFT.

abc: 4.4416 11.6507 11.6507
angles: 90.00 90.00 90.00
Fractional positions:
K 0.0000 0.8714 0.6286
Na 0.5000 0.3316 0.1684
Na 0.5000 0.8316 0.3316
Cs 0.0000 0.0000 0.0000
K 0.0000 0.6286 0.1286
Na 0.5000 0.1684 0.6684
Na 0.5000 0.6684 0.8316
K 0.0000 0.1286 0.3714
Cs 0.0000 0.5000 0.5000
K 0.0000 0.3714 0.8714

Summary:
size of the total moment	0.1	μB/f.u.
energy of formation	0.02	eV/atom
space group	P4/mbm (127)
energy relative to the lowest polymorph listed for this composition	0.00	kcal/mol of atoms



6.
Computed, not measured: a PBEsol-optimized structure of BeAlPt4 at the SCAN level of DFT.

abc: 5.1614 5.1614 5.1614
angles: 60.00 60.00 60.00
Fractional positions:
Pt 0.8752 0.3749 0.3749
Al 0.7500 0.7500 0.7500
Pt 0.3749 0.3749 0.3749
Be 0.0000 0.0000 0.0000
Pt 0.3749 0.3749 0.8752
Pt 0.3749 0.8752 0.3749

Summary:
size of the total moment	0.0	μB/f.u.
energy of formation	0.06	eV/atom
space group	F-43m (216)